# 1
VASP calculation (PBE) on an optimized crystal structure of Mg2ReRh.

The structure in POSCAR format:
```
Mg2ReRh
1.0
-0.908 4.015 1.777
-2.351 1.079 -3.662
-0.995 -3.731 2.278
Mg Re Rh
2 1 1
Direct
0.250 0.750 0.500
0.000 0.000 0.000
0.500 0.500 0.000
0.750 0.250 0.500
```

Total moment: 1.95 μB per formula unit
V: 63.8 Å³/f.u.
Formation energy: 0.186 eV/atom
Energy relative to the lowest polymorph listed for this composition: 0.252 eV/atom

---

# 2
VASP calculation (PBE) on an optimized crystal structure of Ba2MgBe2.

The structure in POSCAR format:
```
Ba2MgBe2
1.0
-8.618 -3.313 -2.303
3.967 -7.947 -3.414
-0.283 -1.563 3.309
Be Ba Mg
4 4 2
Direct
0.079 0.579 0.500
0.921 0.421 0.500
0.421 0.079 0.500
0.579 0.921 0.500
0.311 0.811 0.000
0.189 0.311 0.000
0.689 0.189 0.000
0.811 0.689 0.000
0.500 0.500 0.000
0.000 0.000 0.000
```

Total moment: 0.00 μB per formula unit
V: 166.2 Å³/f.u.
Formation energy: 0.661 eV/atom
Energy relative to the lowest polymorph listed for this composition: 0.097 eV/atom

---

# 3
VASP calculation (PBE) on an optimized crystal structure of LiHgBr4.

The structure in POSCAR format:
```
LiHgBr4
1.0
-1.562 -0.783 -8.478
5.645 -0.754 1.533
-3.628 -8.723 4.641
Br Li Hg
8 2 2
Direct
0.167 0.304 0.347
0.145 0.761 0.042
0.320 0.957 0.653
0.680 0.043 0.347
0.855 0.239 0.958
0.397 0.281 0.042
0.603 0.719 0.958
0.833 0.696 0.653
0.839 0.089 0.177
0.161 0.911 0.823
0.378 0.628 0.255
0.622 0.372 0.745
```

Total moment: 0.00 μB per formula unit
V: 225.1 Å³/f.u.
Energy relative to the lowest polymorph listed for this composition: 0.000 eV/atom

---

> Look up the V of the first one.

63.8 Å³/f.u.

---

> total moment of number 1 (Mg2ReRh)?

1.95 μB per formula unit

---

> The highest total moment belongs to which entry?

Mg2ReRh

---

> What is the V in the second record?

166.2 Å³/f.u.